# 1
A plane-wave DFT calculation with GGA-PBE was carried out for a relaxed TeMoOs3 crystal.

Geometry as CIF:
```
data_TeMoOs3
_chemical_formula_sum 'Te1 Mo1 Os3'
_space_group_name_H-M_alt 'P m -3 m'
_space_group_IT_number 221
_space_group_name_Hall '-P 4 2 3'
_cell_length_a 4.756
_cell_length_b 4.756
_cell_length_c 4.756
_cell_angle_alpha 90.00
_cell_angle_beta 90.00
_cell_angle_gamma 90.00
loop_
_atom_site_label
_atom_site_type_symbol
_atom_site_fract_x
_atom_site_fract_y
_atom_site_fract_z
Te1 Te 0.000 0.000 0.000
Mo1 Mo 0.500 0.500 0.500
Os1 Os 0.000 0.000 0.500
```

# 2
A plane-wave DFT calculation with GGA-PBE was carried out for a relaxed TiGa3Cl crystal.

Geometry as CIF:
```
data_TiGa3Cl
_chemical_formula_sum 'Ti1 Ga3 Cl1'
_space_group_name_H-M_alt 'P m -3 m'
_space_group_IT_number 221
_space_group_name_Hall '-P 4 2 3'
_cell_length_a 5.198
_cell_length_b 5.198
_cell_length_c 5.198
_cell_angle_alpha 90.00
_cell_angle_beta 90.00
_cell_angle_gamma 90.00
loop_
_atom_site_label
_atom_site_type_symbol
_atom_site_fract_x
_atom_site_fract_y
_atom_site_fract_z
Ti1 Ti 0.000 0.000 0.000
Ga1 Ga 0.000 0.000 0.500
Cl1 Cl 0.500 0.500 0.500
```

Number 1: raw formation energy 2.64 eV/atom. Number 2: raw formation energy 0.34 eV/atom.